Entry 1:
The following is a DFT calculation (GGA-PBE) of an optimized crystal structure of BaMg14Fe.

Cell: 10.455 6.658 6.658 Å, 56.18 90.00 90.00°
Fractional coordinates of all 16 atoms:
Ba1 0.000 0.000 0.000
Mg1 0.000 0.001 0.494
Mg2 0.000 0.494 0.001
Mg3 0.218 0.616 0.616
Mg4 0.255 0.135 0.623
Mg5 0.255 0.623 0.135
Mg6 0.274 0.141 0.141
Mg7 0.500 0.473 0.473
Mg8 0.500 0.481 0.965
Mg9 0.500 0.965 0.481
Mg10 0.500 0.968 0.968
Mg11 0.726 0.141 0.141
Mg12 0.745 0.135 0.623
Mg13 0.745 0.623 0.135
Mg14 0.782 0.616 0.616
Fe1 0.000 0.447 0.447

Output
Calculated volume (A^3/atom): 24.06
Relative energy among the computed polymorphs (meV per atom): 0
Space group: Amm2
N(E_F) (states/eV per cell): 10.448



Entry 2:
The following is a DFT calculation (GGA-PBE) of an optimized crystal structure of BaMgFe3.

Cell: 5.020 5.020 5.020 Å, 90.00 90.00 90.00°
Fractional coordinates of all 5 atoms:
Ba1 0.000 0.000 0.000
Mg1 0.500 0.500 0.500
Fe1 0.000 0.000 0.500
Fe2 0.000 0.500 0.000
Fe3 0.500 0.000 0.000

Output
Calculated volume (A^3/atom): 25.31
Space group: Pm-3m
N(E_F) (states/eV per cell): 9.059



Entry 3:
The following is a DFT calculation (GGA-PBE) of an optimized crystal structure of BaMgFe.

Cell: 6.686 6.686 6.686 Å, 148.33 148.33 45.40°
Fractional coordinates of all 3 atoms:
Ba1 0.000 0.000 0.000
Mg1 0.726 0.726 0.000
Fe1 0.312 0.312 0.000

Output
Calculated volume (A^3/atom): 27.38
Space group: I4mm
N(E_F) (states/eV per cell): 5.024



Entry 4:
The following is a DFT calculation (GGA-PBE) of an optimized crystal structure of Ba2MgFe.

Cell: 3.830 3.830 9.576 Å, 90.00 90.00 90.00°
Fractional coordinates of all 4 atoms:
Ba1 0.000 0.000 0.000
Ba2 0.500 0.500 0.399
Mg1 0.500 0.500 0.740
Fe1 0.000 0.000 0.638

Output
Calculated volume (A^3/atom): 35.12
Relative energy among the computed polymorphs (meV per atom): 0
Space group: P4mm
N(E_F) (states/eV per cell): 5.401



Entry 5:
The following is a DFT calculation (GGA-PBE) of an optimized crystal structure of BaMgFe2.

Cell: 10.121 10.121 10.121 Å, 17.93 17.93 17.93°
Fractional coordinates of all 4 atoms:
Ba1 0.000 0.000 0.000
Mg1 0.500 0.500 0.500
Fe1 0.240 0.240 0.240
Fe2 0.760 0.760 0.760

Output
Calculated volume (A^3/atom): 21.45
Relative energy among the computed polymorphs (meV per atom): 620
Space group: R-3m
N(E_F) (states/eV per cell): 6.442



Entry 6:
The following is a DFT calculation (GGA-PBE) of an optimized crystal structure of BaMgFe3.

Cell: 4.902 4.902 4.902 Å, 90.00 90.00 90.00°
Fractional coordinates of all 5 atoms:
Ba1 0.000 0.000 0.000
Mg1 0.500 0.500 0.500
Fe1 0.000 0.500 0.500
Fe2 0.500 0.000 0.500
Fe3 0.500 0.500 0.000

Output
Calculated volume (A^3/atom): 23.56
Space group: Pm-3m
N(E_F) (states/eV per cell): 7.080



Entry 7:
The following is a DFT calculation (GGA-PBE) of an optimized crystal structure of Ba2MgFe.

Cell: 8.337 8.337 8.337 Å, 95.41 95.41 144.25°
Fractional coordinates of all 8 atoms:
Ba1 0.375 0.191 0.316
Ba2 0.809 0.125 0.184
Ba3 0.875 0.059 0.684
Ba4 0.941 0.625 0.816
Mg1 0.250 0.750 0.500
Mg2 0.500 0.500 0.000
Fe1 0.000 0.000 0.000
Fe2 0.750 0.250 0.500

Output
Calculated volume (A^3/atom): 40.28
Relative energy among the computed polymorphs (meV per atom): 187
Space group: I-42d
N(E_F) (states/eV per cell): 7.205



Entry 8:
The following is a DFT calculation (GGA-PBE) of an optimized crystal structure of Ba2MgFe.

Cell: 6.998 6.998 6.998 Å, 147.34 130.36 60.69°
Fractional coordinates of all 4 atoms:
Ba1 0.000 0.000 0.000
Ba2 0.693 0.193 0.500
Mg1 0.396 0.396 0.000
Fe1 0.237 0.737 0.500

Output
Calculated volume (A^3/atom): 34.90
Relative energy among the computed polymorphs (meV per atom): 33
Space group: Imm2
N(E_F) (states/eV per cell): 7.553



Entry 9:
The following is a DFT calculation (GGA-PBE) of an optimized crystal structure of BaMgFe2.

Cell: 3.135 4.601 6.680 Å, 90.00 98.74 90.00°
Fractional coordinates of all 4 atoms:
Ba1 0.000 0.000 0.000
Mg1 0.500 0.000 0.500
Fe1 0.262 0.500 0.635
Fe2 0.738 0.500 0.365

Output
Calculated volume (A^3/atom): 23.81
Relative energy among the computed polymorphs (meV per atom): 219
Space group: P2/m
N(E_F) (states/eV per cell): 3.812



Entry 10:
The following is a DFT calculation (GGA-PBE) of an optimized crystal structure of BaMg6Fe.

Cell: 4.638 7.977 7.977 Å, 46.31 90.00 90.00°
Fractional coordinates of all 8 atoms:
Ba1 0.000 0.000 0.000
Mg1 0.000 0.401 0.401
Mg2 0.000 0.454 0.959
Mg3 0.000 0.959 0.454
Mg4 0.500 0.072 0.588
Mg5 0.500 0.588 0.072
Mg6 0.500 0.595 0.595
Fe1 0.500 0.175 0.175

Output
Calculated volume (A^3/atom): 26.67
Relative energy among the computed polymorphs (meV per atom): 0
Space group: Amm2
N(E_F) (states/eV per cell): 6.181



Entry 11:
The following is a DFT calculation (GGA-PBE) of an optimized crystal structure of Ba2MgFe.

Cell: 4.073 4.063 8.606 Å, 90.00 90.09 90.00°
Fractional coordinates of all 4 atoms:
Ba1 0.001 0.000 0.279
Ba2 0.999 0.000 0.721
Mg1 0.500 0.500 0.000
Fe1 0.500 0.500 0.500

Output
Calculated volume (A^3/atom): 35.61
Relative energy among the computed polymorphs (meV per atom): 39
Space group: P2/m
N(E_F) (states/eV per cell): 6.779



Entry 12:
The following is a DFT calculation (GGA-PBE) of an optimized crystal structure of Ba2MgFe.

Cell: 5.684 5.684 5.684 Å, 60.00 60.00 60.00°
Fractional coordinates of all 4 atoms:
Ba1 0.000 0.000 0.000
Ba2 0.250 0.250 0.250
Mg1 0.750 0.750 0.750
Fe1 0.500 0.500 0.500

Output
Calculated volume (A^3/atom): 32.46
Relative energy among the computed polymorphs (meV per atom): 169
Space group: F-43m
N(E_F) (states/eV per cell): 7.552



Per-record ΔH_f (0 K), meV/atom: 145; 2071; 507; 398; 989; 1182; 586; 432; 587; 240; 438; 568